Compound: CePm2ErTl4
Source: Alexandria
Functional: PBE-GGA
Structure: optimized geometry

Computed properties:
E in hartree per atom: -0.147

```
data_CePm2ErTl4
_chemical_formula_sum 'Ce3 Pm6 Er3 Tl12'
_cell_length_a 5.4509
_cell_length_b 5.4509
_cell_length_c 26.9110
_cell_angle_alpha 90.00
_cell_angle_beta 90.00
_cell_angle_gamma 120.00
_space_group_name_H-M_alt 'R -3 m'
_space_group_IT_number 166
_space_group_name_Hall '-R 3 2"'
loop_
_atom_site_label
_atom_site_type_symbol
_atom_site_fract_x
_atom_site_fract_y
_atom_site_fract_z
Ce1 Ce 0.0000 0.0000 0.0000
Pm1 Pm 0.0000 0.0000 0.2486
Er1 Er 0.0000 0.0000 0.5000
Tl1 Tl 0.0000 0.0000 0.1261
Tl2 Tl 0.0000 0.0000 0.3763
```